Compound: TlCo3Cl
Source: Alexandria via LeMat-Bulk
Functional: PBE-GGA
Structure: relaxed

Calculated values
- E above lowest polymorph: 0 meV per atom
- Energy relative to the elements, uncorrected: 770 meV per atom
- N(E_F): 4.599 states/eV/cell

Cell: 4.2406 4.2406 4.2406 Å, 90.00 90.00 90.00°
Element x y z (fractional)
Tl1 0.0000 0.0000 0.0000
Co1 0.0000 0.5000 0.5000
Co2 0.5000 0.0000 0.5000
Co3 0.5000 0.5000 0.0000
Cl1 0.5000 0.5000 0.5000

Compound: AcPr4Tm7
Source: Alexandria via LeMat-Bulk
Functional: PBE-GGA
Structure: relaxed

Calculated values
- Formation energy: 0.29 eV/atom
- N(E_F): 19.174 states/eV/cell

Cell: 6.8758 6.8758 12.7651 Å, 115.66 115.66 52.24°
Element x y z (fractional)
Ac1 0.0000 0.0000 0.0000
Pr1 0.1448 0.1448 0.7765
Pr2 0.4358 0.4358 0.6702
Pr3 0.5642 0.5642 0.3298
Pr4 0.8552 0.8552 0.2235
Tm1 0.1333 0.1333 0.5003
Tm2 0.2668 0.2668 0.3285
Tm3 0.2946 0.2946 0.0781
Tm4 0.5000 0.5000 0.0000
Tm5 0.7054 0.7054 0.9219
Tm6 0.7332 0.7332 0.6715
Tm7 0.8667 0.8667 0.4997

Compound: Sc5Sb2Se2
Source: Alexandria via LeMat-Bulk
Functional: PBE-GGA
Structure: relaxed

Calculated values
- Energy relative to the elements, uncorrected: -1080 meV per atom
- N(E_F): 16.546 states/eV/cell

Cell: 7.9262 7.9262 7.5136 Å, 90.00 90.00 56.22°
Element x y z (fractional)
Sc1 0.0000 0.0000 0.0000
Sc2 0.0164 0.6968 0.6532
Sc3 0.1968 0.5164 0.1532
Sc4 0.3032 0.9836 0.6532
Sc5 0.4836 0.8032 0.1532
Sc6 0.5000 0.5000 0.5000
Sc7 0.5164 0.1968 0.8468
Sc8 0.6968 0.0164 0.3468
Sc9 0.8032 0.4836 0.8468
Sc10 0.9836 0.3032 0.3468
Sb1 0.1458 0.8542 0.3547
Sb2 0.3542 0.6458 0.8547
Sb3 0.6458 0.3542 0.1453
Sb4 0.8542 0.1458 0.6453
Se1 0.1970 0.1970 0.0000
Se2 0.3030 0.3030 0.5000
Se3 0.6970 0.6970 0.5000
Se4 0.8030 0.8030 0.0000

Compound: ReTeI2N
Source: Alexandria via LeMat-Bulk
Functional: PBE-GGA
Structure: relaxed

Calculated values
- E above lowest polymorph: 1321 meV per atom
- Energy relative to the elements, uncorrected: 1900 meV per atom
- N(E_F): 11.857 states/eV/cell

Cell: 5.4618 5.4618 5.0779 Å, 90.00 90.00 90.00°
Element x y z (fractional)
Re1 0.0000 0.0000 0.0000
Te1 0.0000 0.0000 0.5000
I1 0.0000 0.5000 0.0000
I2 0.5000 0.0000 0.0000
N1 0.5000 0.5000 0.5000

Compound: CdGe
Source: Alexandria via LeMat-Bulk
Functional: PBE-GGA
Structure: relaxed

Calculated values
- Formation energy: 0.22 eV/atom
- N(E_F): 5.318 states/eV/cell

Cell: 8.6859 8.6859 4.3099 Å, 90.00 90.00 120.00°
Element x y z (fractional)
Cd1 0.1156 0.6145 0.2500
Cd2 0.3855 0.5012 0.2500
Cd3 0.4988 0.8844 0.2500
Cd4 0.5012 0.1156 0.7500
Cd5 0.6145 0.4988 0.7500
Cd6 0.8844 0.3855 0.7500
Ge1 0.0178 0.2281 0.2500
Ge2 0.2103 0.9822 0.2500
Ge3 0.2281 0.2103 0.7500
Ge4 0.7719 0.7897 0.2500
Ge5 0.7897 0.0178 0.7500
Ge6 0.9822 0.7719 0.7500

Compound: TlIn2TeSe2
Source: Alexandria via LeMat-Bulk
Functional: PBE-GGA
Structure: relaxed

Calculated values
- Energy relative to the elements, uncorrected: -289 meV per atom
- N(E_F): 6.124 states/eV/cell

Cell: 6.6059 7.3433 8.9505 Å, 90.00 108.46 90.00°
Element x y z (fractional)
Tl1 0.2314 0.2500 0.2119
Tl2 0.7686 0.7500 0.7881
In1 0.1658 0.0231 0.6458
In2 0.1658 0.4769 0.6458
In3 0.8342 0.5231 0.3542
In4 0.8342 0.9769 0.3542
Te1 0.0361 0.7500 0.1718
Te2 0.9639 0.2500 0.8282
Se1 0.3213 0.7500 0.8361
Se2 0.4527 0.2500 0.5915
Se3 0.5473 0.7500 0.4085
Se4 0.6787 0.2500 0.1639

Compound: MgSc2Hg3
Source: Alexandria via LeMat-Bulk
Functional: PBE-GGA
Structure: relaxed

Calculated values
- E above lowest polymorph: 33 meV per atom
- Formation energy: -0.37 eV/atom
- N(E_F): 3.951 states/eV/cell

Cell: 3.5072 3.5072 10.5186 Å, 90.00 90.00 90.00°
Element x y z (fractional)
Mg1 0.0000 0.0000 0.0000
Sc1 0.0000 0.0000 0.3302
Sc2 0.0000 0.0000 0.6698
Hg1 0.5000 0.5000 0.1677
Hg2 0.5000 0.5000 0.5000
Hg3 0.5000 0.5000 0.8323

Compound: CaCo2Os
Source: Alexandria via LeMat-Bulk
Functional: PBE-GGA
Structure: relaxed

Calculated values
- E above lowest polymorph: 128 meV per atom
- Formation energy: 0.48 eV/atom
- N(E_F): 1.742 states/eV/cell

Cell: 4.3938 4.3938 4.3938 Å, 60.00 60.00 60.00°
Element x y z (fractional)
Ca1 0.0000 0.0000 0.0000
Co1 0.2500 0.2500 0.2500
Co2 0.7500 0.7500 0.7500
Os1 0.5000 0.5000 0.5000

Compound: CaSe2O6
Source: Alexandria via LeMat-Bulk
Functional: PBE-GGA
Structure: relaxed

Calculated values
- E above lowest polymorph: 0 meV per atom
- Energy relative to the elements, uncorrected: -1302 meV per atom
- N(E_F): 0.000 states/eV/cell

Cell: 7.1890 12.8352 8.6528 Å, 90.00 126.48 90.00°
Element x y z (fractional)
Ca1 0.1157 0.0872 0.2146
Ca2 0.1157 0.4128 0.7146
Ca3 0.8843 0.5872 0.2854
Ca4 0.8843 0.9128 0.7854
Se1 0.2202 0.1406 0.8557
Se2 0.2202 0.3594 0.3557
Se3 0.4048 0.6657 0.7624
Se4 0.4048 0.8343 0.2624
Se5 0.5952 0.1657 0.7376
Se6 0.5952 0.3343 0.2376
Se7 0.7798 0.6406 0.6443
Se8 0.7798 0.8594 0.1443
O1 0.0343 0.2332 0.7126
O2 0.0343 0.2668 0.2126
O3 0.1304 0.0238 0.7594
O4 0.1304 0.4762 0.2594
O5 0.1921 0.5771 0.6268
O6 0.1921 0.9229 0.1268
O7 0.2994 0.1513 0.0787
O8 0.2994 0.3487 0.5787
O9 0.3951 0.1002 0.5415
O10 0.3951 0.3998 0.0415
O11 0.4892 0.1674 0.9010
O12 0.4892 0.3326 0.4010
O13 0.5108 0.6674 0.5990
O14 0.5108 0.8326 0.0990
O15 0.6049 0.6002 0.9585
O16 0.6049 0.8998 0.4585
O17 0.7006 0.6513 0.4213
O18 0.7006 0.8487 0.9213
O19 0.8079 0.0771 0.8732
O20 0.8079 0.4229 0.3732
O21 0.8696 0.5238 0.7406
O22 0.8696 0.9762 0.2406
O23 0.9657 0.7332 0.7874
O24 0.9657 0.7668 0.2874

Compound: CdAgW2
Source: Alexandria via LeMat-Bulk
Functional: PBE-GGA
Structure: relaxed

Calculated values
- Formation energy: 0.68 eV/atom
- N(E_F): 2.186 states/eV/cell

Cell: 5.4465 5.4465 5.4465 Å, 145.57 127.11 64.65°
Element x y z (fractional)
Cd1 0.0000 0.0000 0.0000
Ag1 0.7449 0.2449 0.5000
W1 0.2735 0.7735 0.5000
W2 0.4806 0.4806 0.0000

Compound: TbSm2Y3Sb6
Source: Alexandria via LeMat-Bulk
Functional: PBE-GGA
Structure: relaxed

Calculated values
- Energy relative to the elements, uncorrected: -1165 meV per atom
- N(E_F): 2.216 states/eV/cell

Cell: 7.6584 7.6584 7.6513 Å, 99.60 99.60 120.00°
Element x y z (fractional)
Tb1 0.0000 0.0000 0.0000
Sm1 0.3338 0.6662 0.0000
Sm2 0.6662 0.3338 0.0000
Y1 0.1678 0.8322 0.5000
Y2 0.5000 0.5000 0.5000
Y3 0.8322 0.1678 0.5000
Sb1 0.0842 0.4152 0.2532
Sb2 0.2458 0.2458 0.7456
Sb3 0.4152 0.0842 0.2532
Sb4 0.5848 0.9158 0.7468
Sb5 0.7542 0.7542 0.2544
Sb6 0.9158 0.5848 0.7468

Compound: TlPb2Se
Source: Alexandria via LeMat-Bulk
Functional: PBE-GGA
Structure: relaxed

Calculated values
- E above lowest polymorph: 57 meV per atom
- Energy relative to the elements, uncorrected: -95 meV per atom
- N(E_F): 1.799 states/eV/cell

Cell: 4.1271 5.1045 5.5581 Å, 90.00 90.00 90.00°
Element x y z (fractional)
Tl1 0.0000 0.0000 0.0000
Pb1 0.0000 0.5000 0.5000
Pb2 0.5000 0.5000 0.0000
Se1 0.5000 0.0000 0.5000

Compound: BeTl3
Source: Alexandria via LeMat-Bulk
Functional: PBE-GGA
Structure: relaxed

Calculated values
- E above lowest polymorph: 97 meV per atom
- Formation energy: 0.42 eV/atom
- N(E_F): 0.859 states/eV/cell

Cell: 5.0729 5.0729 5.0729 Å, 90.00 90.00 90.00°
Element x y z (fractional)
Be1 0.0000 0.0000 0.0000
Tl1 0.0000 0.0000 0.5000
Tl2 0.0000 0.5000 0.0000
Tl3 0.5000 0.0000 0.0000

Compound: Zr6Al3C
Source: Alexandria via LeMat-Bulk
Functional: PBE-GGA
Structure: relaxed

Calculated values
- Formation energy: -0.32 eV/atom
- N(E_F): 15.344 states/eV/cell

Cell: 5.7564 7.3942 10.7651 Å, 90.00 119.18 90.00°
Element x y z (fractional)
Zr1 0.0895 0.0432 0.2296
Zr2 0.0895 0.4568 0.7296
Zr3 0.1608 0.7069 0.0527
Zr4 0.1608 0.7931 0.5527
Zr5 0.3903 0.1492 0.0471
Zr6 0.3903 0.3508 0.5471
Zr7 0.6097 0.6492 0.4529
Zr8 0.6097 0.8508 0.9529
Zr9 0.8392 0.2069 0.4473
Zr10 0.8392 0.2931 0.9473
Zr11 0.9105 0.5432 0.2704
Zr12 0.9105 0.9568 0.7704
Al1 0.3442 0.1120 0.7397
Al2 0.3442 0.3880 0.2397
Al3 0.5000 0.0000 0.5000
Al4 0.5000 0.5000 0.0000
Al5 0.6558 0.6120 0.7603
Al6 0.6558 0.8880 0.2603
C1 0.0000 0.0000 0.0000
C2 0.0000 0.5000 0.5000

Compound: NaZr2VCr
Source: Alexandria via LeMat-Bulk
Functional: PBE-GGA
Structure: relaxed

Calculated values
- Formation energy: 2.09 eV/atom
- N(E_F): 7.168 states/eV/cell

Cell: 4.9642 4.9642 4.3848 Å, 90.00 90.00 90.00°
Element x y z (fractional)
Na1 0.0000 0.0000 0.0000
Zr1 0.0000 0.5000 0.0000
Zr2 0.5000 0.0000 0.0000
V1 0.0000 0.0000 0.5000
Cr1 0.5000 0.5000 0.5000

Compound: CuOsS3
Source: Alexandria via LeMat-Bulk
Functional: PBE-GGA
Structure: relaxed

Calculated values
- E above lowest polymorph: 0 meV per atom
- Energy relative to the elements, uncorrected: 808 meV per atom
- N(E_F): 5.853 states/eV/cell

Cell: 4.6093 4.6093 4.6093 Å, 90.00 90.00 90.00°
Element x y z (fractional)
Cu1 0.0000 0.0000 0.0000
Os1 0.5000 0.5000 0.5000
S1 0.0000 0.5000 0.5000
S2 0.5000 0.0000 0.5000
S3 0.5000 0.5000 0.0000

Compound: CuSnTe3Pb
Source: Alexandria via LeMat-Bulk
Functional: PBE-GGA
Structure: relaxed

Calculated values
- Energy relative to the elements, uncorrected: -208 meV per atom
- N(E_F): 4.530 states/eV/cell

Cell: 9.4015 4.2786 9.4649 Å, 90.00 104.07 90.00°
Element x y z (fractional)
Cu1 0.0689 0.2500 0.0473
Cu2 0.9311 0.7500 0.9527
Sn1 0.3388 0.7500 0.3563
Sn2 0.6612 0.2500 0.6437
Te1 0.1028 0.2500 0.3567
Te2 0.2205 0.7500 0.0165
Te3 0.4372 0.7500 0.6915
Te4 0.5628 0.2500 0.3085
Te5 0.7795 0.2500 0.9835
Te6 0.8972 0.7500 0.6433
Pb1 0.1790 0.2500 0.7054
Pb2 0.8210 0.7500 0.2946

Compound: ReSbPd2
Source: Alexandria via LeMat-Bulk
Functional: PBE-GGA
Structure: relaxed

Calculated values
- Energy relative to the elements, uncorrected: 481 meV per atom
- N(E_F): 8.227 states/eV/cell

Cell: 9.8907 9.8907 9.8907 Å, 157.19 157.19 32.48°
Element x y z (fractional)
Re1 0.0000 0.0000 0.0000
Re2 0.7500 0.2500 0.5000
Sb1 0.2500 0.7500 0.5000
Sb2 0.5000 0.5000 0.0000
Pd1 0.1177 0.6250 0.9927
Pd2 0.3750 0.3677 0.4927
Pd3 0.6323 0.1250 0.0073
Pd4 0.8750 0.8823 0.5073

Compound: CrGaTe2I
Source: Alexandria via LeMat-Bulk
Functional: PBE-GGA
Structure: relaxed

Calculated values
- E above lowest polymorph: 441 meV per atom
- Energy relative to the elements, uncorrected: 573 meV per atom
- N(E_F): 5.522 states/eV/cell

Cell: 5.3951 5.3951 5.6456 Å, 90.00 90.00 90.00°
Element x y z (fractional)
Cr1 0.0000 0.0000 0.0000
Ga1 0.5000 0.5000 0.5000
Te1 0.0000 0.5000 0.5000
Te2 0.5000 0.0000 0.5000
I1 0.5000 0.5000 0.0000

Compound: Te2AsPb
Source: Alexandria via LeMat-Bulk
Functional: PBE-GGA
Structure: relaxed

Calculated values
- E above lowest polymorph: 61 meV per atom
- Energy relative to the elements, uncorrected: -13 meV per atom
- N(E_F): 1.939 states/eV/cell

Cell: 7.8804 7.8804 7.8804 Å, 33.17 33.17 33.17°
Element x y z (fractional)
Te1 0.0000 0.0000 0.0000
Te2 0.2180 0.2180 0.2180
As1 0.7145 0.7145 0.7145
Pb1 0.4782 0.4782 0.4782

Compound: AlCoSe2
Source: Alexandria via LeMat-Bulk
Functional: PBE-GGA
Structure: relaxed

Calculated values
- Energy relative to the elements, uncorrected: -404 meV per atom
- N(E_F): 3.277 states/eV/cell

Cell: 3.6871 3.6871 6.7003 Å, 90.00 90.00 90.00°
Element x y z (fractional)
Al1 0.0000 0.0000 0.0000
Co1 0.5000 0.5000 0.0000
Se1 0.0000 0.5000 0.2443
Se2 0.5000 0.0000 0.7557

Compound: Ac7La12Tm
Source: Alexandria via LeMat-Bulk
Functional: PBE-GGA
Structure: relaxed

Calculated values
- Formation energy: 0.24 eV/atom
- N(E_F): 26.808 states/eV/cell

Cell: 11.9766 11.9766 11.9766 Å, 116.60 116.60 116.60°
Element x y z (fractional)
Ac1 0.0000 0.0000 0.0000
Ac2 0.1244 0.3811 0.3816
Ac3 0.3811 0.3816 0.1244
Ac4 0.3816 0.1244 0.3811
Ac5 0.6184 0.8756 0.6189
Ac6 0.6189 0.6184 0.8756
Ac7 0.8756 0.6189 0.6184
La1 0.0012 0.5966 0.4055
La2 0.0762 0.4386 0.0767
La3 0.0767 0.0762 0.4386
La4 0.4034 0.5945 0.9988
La5 0.4055 0.0012 0.5966
La6 0.4386 0.0767 0.0762
La7 0.5614 0.9233 0.9238
La8 0.5945 0.9988 0.4034
La9 0.5966 0.4055 0.0012
La10 0.9233 0.9238 0.5614
La11 0.9238 0.5614 0.9233
La12 0.9988 0.4034 0.5945
Tm1 0.5000 0.5000 0.5000